A plane-wave DFT calculation with GGA-PBE was carried out for an optimized crystal structure of Rb2AlGeI6.

Properties
DFT total energy	-2.753	eV per atom

abc: 8.322 8.322 8.322
angles: 119.87 119.87 90.23
Fractional coordinates of all 10 atoms:
Rb1 0.250 0.750 0.500
Rb2 0.750 0.250 0.500
Al1 0.000 0.000 0.000
Ge1 0.500 0.500 0.000
I1 0.244 0.244 0.000
I2 0.245 0.245 0.490
I3 0.245 0.755 0.000
I4 0.755 0.245 0.000
I5 0.755 0.755 0.510
I6 0.756 0.756 0.000



A plane-wave DFT calculation with GGA-PBE was carried out for an optimized crystal structure of AlReGe2I.

Properties
DFT total energy	-3.230	eV per atom

abc: 5.357 5.357 5.287
angles: 90.00 90.00 90.00
Fractional coordinates of all 5 atoms:
Al1 0.000 0.000 0.000
Re1 0.500 0.500 0.000
Ge1 0.000 0.500 0.500
Ge2 0.500 0.000 0.500
I1 0.000 0.000 0.500



A plane-wave DFT calculation with GGA-PBE was carried out for an optimized crystal structure of Al2GeRhI.

Properties
DFT total energy	-3.210	eV per atom

abc: 4.821 4.821 5.493
angles: 90.00 90.00 90.00
Fractional coordinates of all 5 atoms:
Al1 0.000 0.500 0.000
Al2 0.500 0.000 0.000
Ge1 0.000 0.000 0.000
Rh1 0.500 0.500 0.500
I1 0.000 0.000 0.500



A plane-wave DFT calculation with GGA-PBE was carried out for an optimized crystal structure of AlGeSb2I.

Properties
DFT total energy	-3.031	eV per atom
E above lowest polymorph	0	meV/atom

abc: 5.337 5.337 5.375
angles: 90.00 90.00 90.00
Fractional coordinates of all 5 atoms:
Al1 0.000 0.000 0.000
Ge1 0.500 0.500 0.500
Sb1 0.000 0.500 0.000
Sb2 0.500 0.000 0.000
I1 0.000 0.000 0.500



A plane-wave DFT calculation with GGA-PBE was carried out for an optimized crystal structure of Al2GeSbI.

Properties
DFT total energy	-2.362	eV per atom

abc: 5.439 5.439 5.832
angles: 90.00 90.00 90.00
Fractional coordinates of all 5 atoms:
Al1 0.000 0.500 0.000
Al2 0.500 0.000 0.000
Ge1 0.000 0.000 0.500
Sb1 0.500 0.500 0.500
I1 0.500 0.500 0.000



A plane-wave DFT calculation with GGA-PBE was carried out for an optimized crystal structure of AlGe2SbI.

Properties
DFT total energy	-2.863	eV per atom

abc: 5.371 5.371 6.324
angles: 90.00 90.00 90.00
Fractional coordinates of all 5 atoms:
Al1 0.000 0.000 0.000
Ge1 0.000 0.500 0.500
Ge2 0.500 0.000 0.500
Sb1 0.500 0.500 0.500
I1 0.500 0.500 0.000



A plane-wave DFT calculation with GGA-PBE was carried out for an optimized crystal structure of AlGeSb2I.

Properties
DFT total energy	-2.984	eV per atom
E above lowest polymorph	48	meV/atom

abc: 5.416 5.416 5.747
angles: 90.00 90.00 90.00
Fractional coordinates of all 5 atoms:
Al1 0.000 0.000 0.000
Ge1 0.500 0.500 0.500
Sb1 0.000 0.500 0.500
Sb2 0.500 0.000 0.500
I1 0.500 0.500 0.000



A plane-wave DFT calculation with GGA-PBE was carried out for an optimized crystal structure of AlGeSeI2.

Properties
DFT total energy	-2.820	eV per atom

abc: 5.646 5.646 4.767
angles: 90.00 90.00 90.00
Fractional coordinates of all 5 atoms:
Al1 0.000 0.000 0.000
Ge1 0.500 0.500 0.500
Se1 0.000 0.000 0.500
I1 0.000 0.500 0.000
I2 0.500 0.000 0.000



A plane-wave DFT calculation with GGA-PBE was carried out for an optimized crystal structure of AlGeTe2I.

Properties
DFT total energy	-2.875	eV per atom
E above lowest polymorph	42	meV/atom

abc: 5.442 5.442 5.875
angles: 90.00 90.00 90.00
Fractional coordinates of all 5 atoms:
Al1 0.000 0.000 0.000
Ge1 0.500 0.500 0.500
Te1 0.000 0.500 0.500
Te2 0.500 0.000 0.500
I1 0.500 0.500 0.000



A plane-wave DFT calculation with GGA-PBE was carried out for an optimized crystal structure of AlGeTeI2.

Properties
DFT total energy	-2.666	eV per atom
E above lowest polymorph	27	meV/atom

abc: 5.416 5.416 5.609
angles: 90.00 90.00 90.00
Fractional coordinates of all 5 atoms:
Al1 0.000 0.000 0.000
Ge1 0.500 0.500 0.500
Te1 0.000 0.000 0.500
I1 0.000 0.500 0.000
I2 0.500 0.000 0.000



A plane-wave DFT calculation with GGA-PBE was carried out for an optimized crystal structure of AlGeTe2I.

Properties
DFT total energy	-2.917	eV per atom
E above lowest polymorph	0	meV/atom

abc: 5.388 5.388 5.419
angles: 90.00 90.00 90.00
Fractional coordinates of all 5 atoms:
Al1 0.000 0.000 0.000
Ge1 0.500 0.500 0.500
Te1 0.000 0.500 0.000
Te2 0.500 0.000 0.000
I1 0.000 0.000 0.500



A plane-wave DFT calculation with GGA-PBE was carried out for an optimized crystal structure of AlGeTeI2.

Properties
DFT total energy	-2.693	eV per atom
E above lowest polymorph	0	meV/atom

abc: 5.805 5.805 5.539
angles: 90.00 90.00 90.00
Fractional coordinates of all 5 atoms:
Al1 0.000 0.000 0.000
Ge1 0.500 0.500 0.500
Te1 0.500 0.500 0.000
I1 0.000 0.500 0.500
I2 0.500 0.000 0.500



> Which of these has the lowest DFT total energy?

AlReGe2I